DFT (PBE) results for an optimized crystal structure of Cs2ScPtRh.

Cell and atoms, written as extended XYZ:
```
5
Lattice="6.6219 0.0000 0.0000 0.0000 4.8320 0.0000 0.0000 0.0000 6.6219" Properties=species:S:1:pos:R:3 pbc="T T T"
Rh 0.0000 2.4160 0.0000
Sc 3.3110 2.4160 3.3110
Pt 0.0000 0.0000 0.0000
Cs 0.0000 0.0000 3.3110
Cs 3.3110 0.0000 0.0000
```

Calculated values
Energy of formation from the pure elements, meV/atom: 1000.5